(1)
A plane-wave DFT calculation with PBE was carried out for a geometry-optimized La6ZnCo2 structure.

```
La6ZnCo2
1.0
8.220 -0.117 -2.849
-4.481 7.048 -2.437
0.051 0.117 8.699
La Co Zn
12 4 2
Direct
0.872 0.700 0.172 La
0.690 0.023 0.333 La
0.800 0.779 0.579 La
0.128 0.300 0.828 La
0.310 0.977 0.667 La
0.528 0.700 0.828 La
0.472 0.300 0.172 La
0.310 0.643 0.333 La
0.800 0.221 0.020 La
0.690 0.357 0.667 La
0.200 0.779 0.980 La
0.200 0.221 0.421 La
0.318 0.000 0.318 Co
0.500 0.642 0.142 Co
0.682 0.000 0.682 Co
0.500 0.358 0.858 Co
0.000 0.000 0.000 Zn
0.000 0.500 0.500 Zn
```

***

(2)
A plane-wave DFT calculation with PBE was carried out for a geometry-optimized LaOs2 structure.

```
LaOs2
1.0
5.417 0.000 0.000
-2.708 4.691 0.000
0.000 0.000 18.271
Os La
16 8
Direct
0.500 0.500 0.000 Os
0.500 0.000 0.000 Os
0.673 0.837 0.750 Os
0.000 0.500 0.000 Os
0.667 0.333 0.373 Os
0.837 0.163 0.250 Os
0.327 0.163 0.250 Os
0.500 0.000 0.500 Os
0.500 0.500 0.500 Os
0.000 0.500 0.500 Os
0.333 0.667 0.873 Os
0.333 0.667 0.627 Os
0.837 0.673 0.250 Os
0.667 0.333 0.127 Os
0.163 0.837 0.750 Os
0.163 0.327 0.750 Os
0.000 0.000 0.408 La
0.667 0.333 0.656 La
0.667 0.333 0.844 La
0.000 0.000 0.592 La
0.333 0.667 0.344 La
0.000 0.000 0.092 La
0.000 0.000 0.908 La
0.333 0.667 0.156 La
```

***

(3)
A plane-wave DFT calculation with PBE was carried out for a geometry-optimized NdMg6Sc2 structure.

```
NdMg6Sc2
1.0
3.208 0.000 0.000
0.000 7.749 -4.474
0.000 0.000 8.948
Sc Mg Nd
2 6 1
Direct
0.000 0.333 0.667 Sc
0.000 0.667 0.333 Sc
0.500 0.000 0.340 Mg
0.500 0.660 0.660 Mg
0.500 0.340 0.340 Mg
0.500 0.000 0.660 Mg
0.500 0.340 0.000 Mg
0.500 0.660 0.000 Mg
0.000 0.000 0.000 Nd
```

***

Across the entries above, electronic total energy takes the values -92.96; -220.54; -27.31 eV per cell, respectively.
Across the entries above, ΔE_f takes the values -159; -60; -35 meV/atom, respectively.